[1]
First-principles (PBE) data for a geometry-optimized Sc2MnCr structure, as listed in the Alexandria database.

* energy of formation from the pure elements: 4.81 kcal/mol of atoms
* crystal system: tetragonal
* E above lowest polymorph: 135 meV/atom

abc: 4.5686 4.5686 3.3587
angles: 90.00 90.00 90.00
Last column: nearest neighbours and their distance in Å.
Space group P4/mmm (No. 123)
One atom of each set of equivalent atoms:
Sc (0.0000, 0.5000, 0.0000)  4 Cr 2.84, 4 Mn 2.84
Mn (0.0000, 0.0000, 0.5000)  8 Sc 2.84
Cr (0.5000, 0.5000, 0.5000)  8 Sc 2.84

[2]
First-principles (PBE) data for a geometry-optimized AgB2Br8 structure, as listed in the Alexandria database.

* crystal system: monoclinic
* energy relative to the elements, uncorrected: -0.3670 eV per atom
* E above lowest polymorph: 8 meV/atom

abc: 18.5053 9.2540 11.6617
angles: 90.00 128.27 90.00
Last column: nearest neighbours and their distance in Å.
Space group C2/c (No. 15)
One atom of each set of equivalent atoms:
Ag (0.0000, 0.0262, 0.2500)  2 Br 2.62
B (0.0908, 0.2405, 0.5554)  4 Br 1.98-2.09
Br (0.0419, 0.2572, 0.1253)  1 B 2.02
Br (0.1013, 0.2111, 0.7379)  1 B 2.03
Br (0.1431, 0.0567, 0.5250)  1 B 2.09
Br (0.1653, 0.4114, 0.5843)  1 B 1.98

[3]
First-principles (PBE) data for a geometry-optimized RbHgAsBr2 structure, as listed in the Alexandria database.

* crystal system: tetragonal
* energy relative to the elements, uncorrected: 0.1885 eV per atom
* E above lowest polymorph: 580 meV/atom

abc: 6.5351 6.5351 7.7566
angles: 90.00 90.00 90.00
Last column: nearest neighbours and their distance in Å.
Space group P4/mmm (No. 123)
One atom of each set of equivalent atoms:
Rb (0.0000, 0.0000, 0.0000)  4 Br 3.27
Hg (0.5000, 0.5000, 0.5000)  4 As 4.62, 8 Br 5.07
As (0.0000, 0.0000, 0.5000)  2 Rb 3.88
Br (0.0000, 0.5000, 0.0000)  2 Rb 3.27

[4]
First-principles (PBE) data for a geometry-optimized PRuSe4 structure, as listed in the Alexandria database.

* crystal system: cubic
* energy relative to the elements, uncorrected: 1.2527 eV per atom

abc: 7.8533 7.8533 7.8533
angles: 90.00 90.00 90.00
Last column: nearest neighbours and their distance in Å.
Space group F-43m (No. 216)
One atom of each set of equivalent atoms:
P (0.0000, 0.0000, 0.0000)  12 Se 3.26, 4 Ru 3.40
Ru (0.2500, 0.2500, 0.7500)  12 Se 3.26, 4 P 3.40
Se (0.1247, 0.1247, 0.3753)  6 Se 2.77-2.78

[5]
First-principles (PBE) data for a geometry-optimized Ta2Tl2VSe6 structure, as listed in the Alexandria database.

* crystal system: monoclinic
* energy relative to the elements, uncorrected: -0.6571 eV per atom

abc: 6.1915 10.8909 8.2547
angles: 90.00 91.81 90.00
Last column: nearest neighbours and their distance in Å.
Space group C2/m (No. 12)
One atom of each set of equivalent atoms:
Ta (0.0000, 0.1361, 0.0000)  6 Se 2.57-2.76
Tl (0.0000, 0.1716, 0.5000)  6 Se 3.29-3.36, 2 Tl 3.54
V (0.0000, 0.5000, 0.0000)  6 Se 2.57-2.60
Se (0.1686, 0.3302, 0.1786)  1 V 2.57, 2 Ta 2.59-2.76
Se (0.1978, 0.0000, 0.2116)  2 Ta 2.57, 1 V 2.60

[6]
First-principles (PBE) data for a geometry-optimized LiReAs4 structure, as listed in the Alexandria database.

* energy of formation from the pure elements: 18.55 kcal/mol of atoms
* crystal system: cubic

abc: 7.6290 7.6290 7.6290
angles: 90.00 90.00 90.00
Last column: nearest neighbours and their distance in Å.
Space group F-43m (No. 216)
One atom of each set of equivalent atoms:
Li (0.0000, 0.0000, 0.0000)  12 As 3.17, 4 Re 3.30
Re (0.2500, 0.2500, 0.7500)  12 As 3.16, 4 Li 3.30
As (0.1239, 0.1239, 0.3761)  6 As 2.67-2.72

E_tot? In order: -7.655 -3.057 -1.664 -3.518 -5.972 -4.689 eV/atom.